No. 1
# Li2CaPm2Bi2

Li2CaPm2Bi2 after structural relaxation (PBE, the Alexandria database).

Lattice parameters (Å, degrees): 4.9331 4.9331 27.9923 90.00 90.00 120.00
Space group R-3m (No. 166, hexagonal axes)
Unique sites:
Li (0.0000, 0.0000, 0.0866)
Ca (0.0000, 0.0000, 0.5000)
Pm (0.0000, 0.0000, 0.3665)
Bi (0.0000, 0.0000, 0.2369)

Properties
**E**: -3.76 eV per atom
**E_form**: -0.46 eV/atom



No. 2
# Li2CaPr2Bi2

Li2CaPr2Bi2 after structural relaxation (PBE, the Alexandria database).

Lattice parameters (Å, degrees): 4.9404 4.9404 28.2906 90.00 90.00 120.00
Space group R-3m (No. 166, hexagonal axes)
Unique sites:
Li (0.0000, 0.0000, 0.0930)
Ca (0.0000, 0.0000, 0.5000)
Pr (0.0000, 0.0000, 0.3686)
Bi (0.0000, 0.0000, 0.2360)

Properties
**E**: -3.78 eV per atom
**E_form**: -0.48 eV/atom



No. 3
# LiCaPu2Bi4

LiCaPu2Bi4 after structural relaxation (PBE, the Alexandria database).

Lattice parameters (Å, degrees): 4.8751 4.8751 35.8824 90.00 90.00 120.00
Space group R-3m (No. 166, hexagonal axes)
Unique sites:
Li (0.0000, 0.0000, 0.0000)
Ca (0.0000, 0.0000, 0.5000)
Pu (0.0000, 0.0000, 0.2592)
Bi (0.0000, 0.0000, 0.1175)
Bi (0.0000, 0.0000, 0.3651)

Properties
**E**: -6.38 eV per atom
**E_form**: -0.37 eV/atom



No. 4
# RbLi2Ca2Bi2

RbLi2Ca2Bi2 after structural relaxation (PBE, the Alexandria database).

Lattice parameters (Å, degrees): 5.1159 5.1159 31.1275 90.00 90.00 120.00
Space group R-3m (No. 166, hexagonal axes)
Unique sites:
Rb (0.0000, 0.0000, 0.0000)
Li (0.0000, 0.0000, 0.4288)
Ca (0.0000, 0.0000, 0.1343)
Bi (0.0000, 0.0000, 0.2441)

Properties
**E**: -2.94 eV per atom
**E_form**: -0.58 eV/atom



No. 5
# LiCa2ReBi

LiCa2ReBi after structural relaxation (PBE, the Alexandria database).

Lattice parameters (Å, degrees): 5.4137 5.4137 4.9722 90.00 90.00 90.00
Space group P4/mmm (No. 123)
Unique sites:
Li (0.0000, 0.0000, 0.0000)
Ca (0.0000, 0.5000, 0.5000)
Re (0.0000, 0.0000, 0.5000)
Bi (0.5000, 0.5000, 0.0000)

Properties
**E**: -3.71 eV per atom
**E_form**: 0.74 eV/atom



No. 6
# LiCaBiRh2

LiCaBiRh2 after structural relaxation (PBE, the Alexandria database).

Lattice parameters (Å, degrees): 5.0649 5.0649 4.8766 90.00 90.00 90.00
Space group P4/mmm (No. 123)
Unique sites:
Li (0.0000, 0.0000, 0.0000)
Ca (0.5000, 0.5000, 0.0000)
Bi (0.0000, 0.0000, 0.5000)
Rh (0.0000, 0.5000, 0.5000)

Properties
**E**: -4.28 eV per atom
**E_form**: 0.22 eV/atom



No. 7
# LiCaBiRh

LiCaBiRh after structural relaxation (PBE, the Alexandria database).

Lattice parameters (Å, degrees): 6.8494 6.8494 6.8494 90.00 90.00 90.00
Space group F-43m (No. 216)
Unique sites:
Li (0.0000, 0.0000, 0.0000)
Ca (0.2500, 0.2500, 0.7500)
Bi (0.2500, 0.2500, 0.2500)
Rh (0.0000, 0.0000, 0.5000)

Properties
**E**: -4.26 eV per atom
**E_form**: -0.47 eV/atom



No. 8
# LiCaBi2S4

LiCaBi2S4 after structural relaxation (PBE, the Alexandria database).

Lattice parameters (Å, degrees): 6.7734 4.0084 7.5040 90.00 111.58 90.00
Space group P2/m (No. 10)
Unique sites:
Li (0.0000, 0.0000, 0.0000)
Ca (0.0000, 0.5000, 0.5000)
Bi (0.5000, 0.0000, 0.5000)
Bi (0.5000, 0.5000, 0.0000)
S (0.2296, 0.0000, 0.7704)
S (0.2559, 0.5000, 0.2466)

Properties
**E**: -4.36 eV per atom
**Energy relative to the elements, uncorrected**: -0.84 eV/atom



No. 9
# LiCa2BiS

LiCa2BiS after structural relaxation (PBE, the Alexandria database).

Lattice parameters (Å, degrees): 5.3960 5.3960 4.6406 90.00 90.00 90.00
Space group P4/mmm (No. 123)
Unique sites:
Li (0.0000, 0.0000, 0.0000)
Ca (0.0000, 0.5000, 0.5000)
Bi (0.5000, 0.5000, 0.0000)
S (0.0000, 0.0000, 0.5000)

Properties
**E**: -4.01 eV per atom
**Energy relative to the elements, uncorrected**: -1.22 eV/atom



No. 10
# Li2CaBiS

Li2CaBiS after structural relaxation (PBE, the Alexandria database).

Lattice parameters (Å, degrees): 4.7311 4.7311 5.4631 90.00 90.00 90.00
Space group P4/mmm (No. 123)
Unique sites:
Li (0.0000, 0.5000, 0.0000)
Ca (0.0000, 0.0000, 0.5000)
Bi (0.5000, 0.5000, 0.5000)
S (0.0000, 0.0000, 0.0000)

Properties
**E**: -3.71 eV per atom
**Energy relative to the elements, uncorrected**: -0.94 eV/atom



No. 11
# LiCaBiS3

LiCaBiS3 after structural relaxation (PBE, the Alexandria database).

Lattice parameters (Å, degrees): 8.4364 3.9568 8.4654 90.00 101.45 90.00
Space group P2_1/m (No. 11)
Unique sites:
Li (0.0861, 0.2500, 0.0869)
Ca (0.1859, 0.2500, 0.7323)
Bi (0.3324, 0.7500, 0.3306)
S (0.1070, 0.2500, 0.3762)
S (0.2013, 0.7500, 0.9914)
S (0.4198, 0.7500, 0.6687)

Properties
**E**: -4.50 eV per atom
**Energy relative to the elements, uncorrected**: -1.13 eV/atom



No. 12
# Li2CaBi3S6

Li2CaBi3S6 after structural relaxation (PBE, the Alexandria database).

Lattice parameters (Å, degrees): 17.2616 4.1947 7.8744 90.00 100.82 90.00
Space group C2/m (No. 12)
Unique sites:
Li (0.1697, 0.0000, 0.3293)
Ca (0.0000, 0.5000, 0.0000)
Bi (0.0000, 0.5000, 0.5000)
Bi (0.1704, 0.0000, 0.8232)
S (0.0022, 0.0000, 0.2520)
S (0.1666, 0.5000, 0.0853)
S (0.1689, 0.5000, 0.5817)

Properties
**E**: -4.33 eV per atom
**Energy relative to the elements, uncorrected**: -0.81 eV/atom



Number 1: mass density 6.43 g cm⁻³, total magnetic moment 0.279 μB/atom. Number 2: mass density 6.28 g cm⁻³, total magnetic moment 0.000 μB/atom. Number 3: mass density 9.25 g cm⁻³, total magnetic moment 1.342 μB/atom. Number 4: mass density 4.22 g cm⁻³, total magnetic moment 0.000 μB/atom. Number 5: mass density 5.50 g cm⁻³, total magnetic moment 0.000 μB/atom. Number 6: mass density 6.13 g cm⁻³, total magnetic moment 0.097 μB/atom. Number 7: mass density 7.42 g cm⁻³, total magnetic moment 0.000 μB/atom. Number 8: mass density 5.20 g cm⁻³, total magnetic moment 0.000 μB/atom. Number 9: mass density 4.03 g cm⁻³, total magnetic moment 0.000 μB/atom. Number 10: mass density 4.01 g cm⁻³, total magnetic moment 0.137 μB/atom. Number 11: mass density 4.22 g cm⁻³, total magnetic moment 0.000 μB/atom. Number 12: mass density 5.18 g cm⁻³, total magnetic moment 0.000 μB/atom.